The following is a DFT calculation (PBE) of an optimized crystal structure of LaPuSn.

a = 5.3483 Å, b = 5.3483 Å, c = 6.7394 Å
α = 90.00°, β = 90.00°, γ = 120.00°
Last column: magnetic moment on the atom in μB.
Atoms (fractional coordinates):
Sn1 0.0000 0.0000 0.5000  -0.04
Sn2 0.0000 0.0000 0.0000  -0.04
La1 0.3332 0.6668 0.2500  0.41
La2 0.6668 0.3332 0.7500  0.41
Pu1 0.3335 0.6665 0.7500  5.72
Pu2 0.6665 0.3335 0.2500  5.72

Computed properties:
- DOS at the Fermi energy: 3.18 states/eV per atom
- Energy of formation: -20.0 kJ per mole of atoms
- Space-group type: P6_3/mmc
- VASP energy: -7.961 eV/atom
- Polymorph energy (0 for the lowest one): 0.258 eV/atom